This record from the Alexandria database describes a geometry-optimized LuGaAg2 structure. The functional is PBE-GGA.

## Properties
Space-group type: No. 225
ΔE to the lowest computed polymorph (meV/atom): 0
Calculated formation energy (eV/f.u.): -1.17
E_tot (eV per atom): -3.61
Fermi-level density of states (states/eV per cell): 2.566

Lattice parameters (Å, degrees): 4.775 4.775 4.775 60.00 60.00 60.00
Sites, in units of the cell vectors:
Lu  0.000  0.000  0.000
Ga  0.500  0.500  0.500
Ag  0.250  0.250  0.250
Ag  0.750  0.750  0.750